[1]
VASP calculation (PBE) on CaCdNF2 after structural relaxation.

a = 4.3987 Å, b = 4.3987 Å, c = 4.3180 Å
α = 90.00°, β = 90.00°, γ = 90.00°
Site moments in Bohr magnetons follow the coordinates.
Positions (direct):
F 0.5000 0.0000 0.0000  0.02
F 0.0000 0.5000 0.0000  0.02
Cd 0.0000 0.0000 0.0000  0.04
Ca 0.5000 0.5000 0.5000  -0.01
N 0.0000 0.0000 0.5000  0.53

Values from the calculation:
N(E_F), states/eV/f.u.: 3.133
Space-group type: No. 123
Calculated total energy, eV/f.u.: -20.80

---

[2]
VASP calculation (PBE) on NdIn3Co after structural relaxation.

a = 4.9312 Å, b = 4.9312 Å, c = 4.9312 Å
α = 90.00°, β = 90.00°, γ = 90.00°
Site moments in Bohr magnetons follow the coordinates.
Positions (direct):
Nd 0.5000 0.5000 0.5000  0.04
Co 0.0000 0.0000 0.0000  0.24
In 0.0000 0.0000 0.5000  0.00
In 0.0000 0.5000 0.0000  0.00
In 0.5000 0.0000 0.0000  0.00

Values from the calculation:
Formation energy from the elements, eV/atom: -0.169
N(E_F), states/eV/f.u.: 3.924
Space-group type: No. 221

---

[3]
VASP calculation (PBE) on Pm4SmTe7 after structural relaxation.

a = 4.3347 Å, b = 7.6299 Å, c = 13.4331 Å
α = 103.74°, β = 90.00°, γ = 106.50°
Positions (direct):
Pm 0.2995 0.5991 0.1884
Pm 0.7006 0.4011 0.8117
Pm 0.1151 0.2301 0.4239
Pm 0.0000 0.0000 0.9996
Sm 0.8847 0.7693 0.5764
Te 0.2586 0.5172 0.6507
Te 0.4992 0.9985 0.5003
Te 0.3386 0.6772 0.9517
Te 0.7426 0.4852 0.3498
Te 0.9621 0.9243 0.2164
Te 0.0377 0.0753 0.7826
Te 0.6613 0.3227 0.0483

Values from the calculation:
N(E_F), states/eV/f.u.: 2.504
Space-group type: No. 8
Calculated total energy, eV/f.u.: -62.84